(1)
Computed, not measured: an optimized crystal structure of NbCuAsSe2 at the GGA-PBE level of DFT.

## Properties
The calculation puts the uncorrected formation energy at 0.361 eV per atom. Its space group is P4/mmm.

Unit cell a=5.003 b=5.003 c=5.065 alpha=90.00 beta=90.00 gamma=90.00
Fractional coordinates of all 5 atoms:
Nb 0.000 0.000 0.000
Cu 0.500 0.500 0.500
As 0.000 0.000 0.500
Se 0.000 0.500 0.000
Se 0.500 0.000 0.000

(2)
Computed, not measured: an optimized crystal structure of CoMoPt2 at the GGA-PBE level of DFT.

## Properties
As for the formation energy from the elements: -194 meV per atom. Its space group is P4/mmm.

Unit cell a=2.734 b=2.734 c=7.762 alpha=90.00 beta=90.00 gamma=90.00
Fractional coordinates of all 4 atoms:
Co 0.000 0.000 0.000
Mo 0.000 0.000 0.500
Pt 0.500 0.500 0.240
Pt 0.500 0.500 0.760

(3)
Computed, not measured: an optimized crystal structure of NdSm2Dy at the GGA-PBE level of DFT.

## Properties
As for the formation energy from the elements: 17 meV per atom. Its space group is P4/mmm.

Unit cell a=5.113 b=5.113 c=5.125 alpha=90.00 beta=90.00 gamma=90.00
Fractional coordinates of all 4 atoms:
Nd 0.000 0.000 0.000
Sm 0.000 0.500 0.500
Sm 0.500 0.000 0.500
Dy 0.500 0.500 0.000

Calculated values (μB/atom) of total magnetic moment for the records, taken in order: 0.00, 0.57, 0.00.
Calculated values (states/eV/cell) of D(E_F) for the records, taken in order: 3.200, 4.718, 6.363.
Calculated values (meV/atom) of distance to the lowest polymorph of the same formula for the records, taken in order: 0, 0, 2.